Density functional theory data (PBE) for crystalline AcBi2Pt at its relaxed geometry.

CIF file:
```
data_AcBi2Pt
_chemical_formula_sum 'Ac1 Bi2 Pt1'
_symmetry_space_group_name_H-M 'P 1'
_symmetry_Int_Tables_number 1
_cell_length_a 3.978
_cell_length_b 3.978
_cell_length_c 10.357
_cell_angle_alpha 78.93
_cell_angle_beta 78.93
_cell_angle_gamma 60.00
loop_
_symmetry_equiv_pos_as_xyz
'x,y,z'
loop_
_atom_site_label
_atom_site_type_symbol
_atom_site_fract_x
_atom_site_fract_y
_atom_site_fract_z
Bi1 Bi 0.886 0.886 0.342
Ac1 Ac 0.000 0.000 0.000
Pt1 Pt 0.500 0.500 0.500
Bi2 Bi 0.114 0.114 0.658
```

Properties
The calculation puts the density at 10.08 Mg/m³. As for the space-group type: R-3m (166). The energy above the lowest structure with this stoichiometry comes out at 0.577 eV per atom. The calculation puts the total magnetization at 0.00 μB/cell.